# 1
Computed, not measured: a relaxed Hf2Cu3Mo4N3 crystal at the PBE level of DFT.

E ... -415.48 eV for the cell shown

Cell lengths 9.242, 5.374, 13.162 Å; angles 90.00, 103.17, 90.00 degrees
Space group C2/c (No. 15)
Asymmetric unit:
Hf  0.048  0.085  0.386 (multiplicity 8)
Cu  0.000  0.456  0.750 (multiplicity 4)
Cu  0.232  0.151  0.748 (multiplicity 8)
Mo  0.110  0.429  0.580 (multiplicity 8)
Mo  0.218  0.413  0.920 (multiplicity 8)
N  0.073  0.221  0.000 (multiplicity 8)
N  0.250  0.250  0.500 (multiplicity 4)

# 2
Computed, not measured: a relaxed YHoAlCo2 crystal at the PBE level of DFT.

Energy above the most stable polymorph in this dataset ... 0.000 eV/atom

Cell lengths 4.024, 5.438, 8.315 Å; angles 90.00, 90.00, 90.00 degrees
Space group Imm2 (No. 44)
Asymmetric unit:
Y  0.000  0.000  0.000 (multiplicity 2)
Ho  0.000  0.000  0.409 (multiplicity 2)
Al  0.000  0.500  0.204 (multiplicity 2)
Co  0.000  0.277  0.705 (multiplicity 4)

# 3
Computed, not measured: a relaxed KDy4C2S crystal at the PBE level of DFT.

E ... -47.37 eV for the cell shown

Cell lengths 3.6821, 3.6821, 16.7181 Å; angles 90.00, 90.00, 120.00 degrees
Space group P-6m2 (No. 187)
Asymmetric unit:
K  0.0000  0.0000  0.0000 (multiplicity 1)
Dy  0.0000  0.0000  0.3885 (multiplicity 2)
Dy  0.3333  0.6667  0.2301 (multiplicity 2)
C  0.6667  0.3333  0.3029 (multiplicity 2)
S  0.3333  0.6667  0.5000 (multiplicity 1)

# 4
Computed, not measured: a relaxed Tb2GeO5 crystal at the PBE level of DFT.

Energy above the most stable polymorph in this dataset ... 0.000 eV/atom

Cell lengths 14.919, 6.795, 10.406 Å; angles 90.00, 121.93, 90.00 degrees
Space group C2/c (No. 15)
Asymmetric unit:
Tb  0.034  0.244  0.460 (multiplicity 8)
Tb  0.136  0.138  0.834 (multiplicity 8)
Ge  0.185  0.406  0.313 (multiplicity 8)
O  0.019  0.098  0.901 (multiplicity 8)
O  0.082  0.489  0.643 (multiplicity 8)
O  0.114  0.197  0.317 (multiplicity 8)
O  0.196  0.151  0.672 (multiplicity 8)
O  0.203  0.434  0.958 (multiplicity 8)

# 5
Computed, not measured: a relaxed CsUAl crystal at the PBE level of DFT.

Energy above the most stable polymorph in this dataset ... 0.292 eV/atom

Cell lengths 7.024, 7.024, 7.024 Å; angles 90.00, 90.00, 90.00 degrees
Space group F-43m (No. 216)
Asymmetric unit:
Cs  0.000  0.000  0.000 (multiplicity 4)
U  0.250  0.250  0.250 (multiplicity 4)
Al  0.250  0.250  0.750 (multiplicity 4)

# 6
Computed, not measured: a relaxed AsPbW crystal at the PBE level of DFT.

Energy above the most stable polymorph in this dataset ... 0.000 eV/atom

Cell lengths 6.524, 6.524, 6.524 Å; angles 90.00, 90.00, 90.00 degrees
Space group F-43m (No. 216)
Asymmetric unit:
As  0.000  0.000  0.000 (multiplicity 4)
Pb  0.000  0.000  0.500 (multiplicity 4)
W  0.250  0.250  0.250 (multiplicity 4)

# 7
Computed, not measured: a relaxed CoSiNiHg crystal at the PBE level of DFT.

Energy above the most stable polymorph in this dataset ... 0.208 eV/atom

Cell lengths 6.030, 6.030, 6.030 Å; angles 90.00, 90.00, 90.00 degrees
Space group F-43m (No. 216)
Asymmetric unit:
Co  0.000  0.000  0.000 (multiplicity 4)
Si  0.250  0.250  0.750 (multiplicity 4)
Ni  0.250  0.250  0.250 (multiplicity 4)
Hg  0.000  0.000  0.500 (multiplicity 4)

# 8
Computed, not measured: a relaxed CoGe crystal at the PBE level of DFT.

E ... -43.10 eV for the cell shown

Cell lengths 5.258, 5.258, 5.258 Å; angles 90.00, 90.00, 90.00 degrees
Space group F-43m (No. 216)
Asymmetric unit:
Co  0.000  0.000  0.000 (multiplicity 4)
Ge  0.250  0.250  0.750 (multiplicity 4)

# 9
Computed, not measured: a relaxed Mg3Cd crystal at the PBE level of DFT.

E ... -11.64 eV for the cell shown

Cell lengths 5.060, 6.264, 5.420 Å; angles 90.00, 90.00, 90.00 degrees
Space group Pmmn (No. 59, origin choice 2)
Asymmetric unit:
Mg  0.250  0.000  0.168 (multiplicity 4)
Mg  0.250  0.250  0.658 (multiplicity 2)
Cd  0.250  0.750  0.675 (multiplicity 2)

# 10
Computed, not measured: a relaxed GdDyPt2 crystal at the PBE level of DFT.

DFT formation energy ... -1271 meV per atom

Cell lengths 4.526, 7.067, 5.579 Å; angles 90.00, 90.00, 90.00 degrees
Space group Pmn2_1 (No. 31)
Asymmetric unit:
Gd  0.000  0.068  0.000 (multiplicity 2)
Dy  0.000  0.568  0.219 (multiplicity 2)
Pt  0.000  0.210  0.515 (multiplicity 2)
Pt  0.000  0.702  0.704 (multiplicity 2)

# 11
Computed, not measured: a relaxed NiAgMoAu crystal at the PBE level of DFT.

Energy above the most stable polymorph in this dataset ... 0.032 eV/atom
DFT formation energy ... 444 meV per atom

Cell lengths 6.277, 6.277, 6.277 Å; angles 90.00, 90.00, 90.00 degrees
Space group F-43m (No. 216)
Asymmetric unit:
Ni  0.000  0.000  0.000 (multiplicity 4)
Ag  0.000  0.000  0.500 (multiplicity 4)
Mo  0.250  0.250  0.250 (multiplicity 4)
Au  0.250  0.250  0.750 (multiplicity 4)

# 12
Computed, not measured: a relaxed PrSm2Tm3Te2Os crystal at the PBE level of DFT.

E ... -104.05 eV for the cell shown

Cell lengths 4.101, 14.453, 8.385 Å; angles 90.00, 90.00, 90.00 degrees
Space group Amm2 (No. 38)
Asymmetric unit:
Pr  0.000  0.000  0.000 (multiplicity 2)
Sm  0.000  0.196  0.596 (multiplicity 4)
Tm  0.500  0.000  0.635 (multiplicity 2)
Tm  0.500  0.115  0.283 (multiplicity 4)
Te  0.500  0.169  0.898 (multiplicity 4)
Os  0.000  0.000  0.407 (multiplicity 2)